(1)
The following is a GGA-PBE calculation of a relaxed structure of Ba3GaSn3, from Alexandria via LeMat-Bulk.

Computed properties:
formation enthalpy at 0 K	-612	meV/atom

The structure in extended XYZ format:
```
14
Lattice="6.412 -2.571 0.000 6.412 2.571 0.000 -5.609 0.000 15.346" Properties=species:S:1:pos:R:3 pbc="T T T"
Ba -1.894 0.000 5.941
Ba -3.832 0.000 14.153
Ba 1.707 0.000 3.584
Ba 5.507 0.000 11.762
Ba 11.046 0.000 1.193
Ba 9.108 0.000 9.405
Ga 0.144 0.000 9.338
Ga 7.070 0.000 6.008
Sn 1.746 0.000 6.981
Sn -0.106 0.000 14.156
Sn 1.745 0.000 11.762
Sn 5.469 0.000 3.584
Sn 7.320 0.000 1.190
Sn 5.468 0.000 8.365
```



(2)
The following is a GGA-PBE calculation of a relaxed structure of Zr2NbPt, from Alexandria via LeMat-Bulk.

Computed properties:
formation enthalpy at 0 K	-502	meV/atom
excess energy over the best structure of this formula in the dataset	30.2	meV/atom

The structure in extended XYZ format:
```
4
Lattice="4.711 0.000 0.000 0.000 4.711 0.000 0.000 0.000 3.468" Properties=species:S:1:pos:R:3 pbc="T T T"
Zr 0.000 2.356 0.000
Zr 2.356 0.000 0.000
Nb 0.000 0.000 1.734
Pt 2.356 2.356 1.734
```



(3)
The following is a GGA-PBE calculation of a relaxed structure of PrTh2Sc8, from Alexandria via LeMat-Bulk.

Computed properties:
formation enthalpy at 0 K	188	meV/atom

The structure in extended XYZ format:
```
11
Lattice="-2.787 3.386 8.214 2.787 -3.386 8.214 2.787 3.386 -8.214" Properties=species:S:1:pos:R:3 pbc="T T T"
Pr 0.000 0.000 0.000
Th 2.787 0.000 5.081
Th 0.000 3.386 3.133
Sc 2.787 1.596 -2.180
Sc 0.000 0.000 3.281
Sc 2.787 1.596 2.180
Sc 1.372 3.386 0.000
Sc 1.415 0.000 8.214
Sc 0.000 1.790 6.033
Sc 0.000 0.000 13.146
Sc 0.000 1.790 10.394
```